[1]
Compound: NbSI2O
Source: Alexandria
Functional: PBE
Structure: relaxed

```
data_NbSI2O
_chemical_formula_sum 'Nb1 S1 I2 O1'
_symmetry_space_group_name_H-M 'P 4/m m m'
_symmetry_Int_Tables_number 123
_symmetry_space_group_name_Hall '-P 4 2'
_cell_length_a 5.6340
_cell_length_b 5.6340
_cell_length_c 3.9012
_cell_angle_alpha 90.00
_cell_angle_beta 90.00
_cell_angle_gamma 90.00
loop_
_atom_site_label
_atom_site_type_symbol
_atom_site_fract_x
_atom_site_fract_y
_atom_site_fract_z
_atom_site_occupancy
Nb1 Nb 0.0000 0.0000 0.0000 1
S1 S 0.5000 0.5000 0.5000 1
I1 I 0.0000 0.5000 0.0000 1
O1 O 0.0000 0.0000 0.5000 1
```

Properties
Energy above the lowest structure with this stoichiometry ... 0.0 kJ per mole of atoms

[2]
Compound: Nb2SbIO
Source: Alexandria
Functional: PBE
Structure: relaxed

```
data_Nb2SbIO
_chemical_formula_sum 'Nb2 Sb1 I1 O1'
_symmetry_space_group_name_H-M 'P 4/m m m'
_symmetry_Int_Tables_number 123
_symmetry_space_group_name_Hall '-P 4 2'
_cell_length_a 5.4406
_cell_length_b 5.4406
_cell_length_c 4.1074
_cell_angle_alpha 90.00
_cell_angle_beta 90.00
_cell_angle_gamma 90.00
loop_
_atom_site_label
_atom_site_type_symbol
_atom_site_fract_x
_atom_site_fract_y
_atom_site_fract_z
_atom_site_occupancy
Nb1 Nb 0.0000 0.5000 0.0000 1
Sb1 Sb 0.0000 0.0000 0.0000 1
I1 I 0.5000 0.5000 0.5000 1
O1 O 0.0000 0.0000 0.5000 1
```

Properties
Total energy ... -0.3944 Ry per atom

[3]
Compound: NbSbIO2
Source: Alexandria
Functional: PBE
Structure: relaxed

```
data_NbSbIO2
_chemical_formula_sum 'Nb1 Sb1 I1 O2'
_symmetry_space_group_name_H-M 'P 4/m m m'
_symmetry_Int_Tables_number 123
_symmetry_space_group_name_Hall '-P 4 2'
_cell_length_a 4.0783
_cell_length_b 4.0783
_cell_length_c 6.9433
_cell_angle_alpha 90.00
_cell_angle_beta 90.00
_cell_angle_gamma 90.00
loop_
_atom_site_label
_atom_site_type_symbol
_atom_site_fract_x
_atom_site_fract_y
_atom_site_fract_z
_atom_site_occupancy
Nb1 Nb 0.0000 0.0000 0.0000 1
Sb1 Sb 0.5000 0.5000 0.5000 1
I1 I 0.5000 0.5000 0.0000 1
O1 O 0.0000 0.5000 0.5000 1
```

Properties
Energy above the lowest structure with this stoichiometry ... 82.1 kJ per mole of atoms

[4]
Compound: NbSbIO2
Source: Alexandria
Functional: PBE
Structure: relaxed

```
data_NbSbIO2
_chemical_formula_sum 'Nb1 Sb1 I1 O2'
_symmetry_space_group_name_H-M 'P 4/m m m'
_symmetry_Int_Tables_number 123
_symmetry_space_group_name_Hall '-P 4 2'
_cell_length_a 4.0915
_cell_length_b 4.0915
_cell_length_c 6.3626
_cell_angle_alpha 90.00
_cell_angle_beta 90.00
_cell_angle_gamma 90.00
loop_
_atom_site_label
_atom_site_type_symbol
_atom_site_fract_x
_atom_site_fract_y
_atom_site_fract_z
_atom_site_occupancy
Nb1 Nb 0.0000 0.0000 0.0000 1
Sb1 Sb 0.5000 0.5000 0.5000 1
I1 I 0.0000 0.0000 0.5000 1
O1 O 0.0000 0.5000 0.0000 1
```

Properties
Energy above the lowest structure with this stoichiometry ... 0.0 kJ per mole of atoms

[5]
Compound: ScNbI2O
Source: Alexandria
Functional: PBE
Structure: relaxed

```
data_ScNbI2O
_chemical_formula_sum 'Sc1 Nb1 I2 O1'
_symmetry_space_group_name_H-M 'P 4/m m m'
_symmetry_Int_Tables_number 123
_symmetry_space_group_name_Hall '-P 4 2'
_cell_length_a 5.7872
_cell_length_b 5.7872
_cell_length_c 3.9037
_cell_angle_alpha 90.00
_cell_angle_beta 90.00
_cell_angle_gamma 90.00
loop_
_atom_site_label
_atom_site_type_symbol
_atom_site_fract_x
_atom_site_fract_y
_atom_site_fract_z
_atom_site_occupancy
Sc1 Sc 0.0000 0.0000 0.0000 1
Nb1 Nb 0.5000 0.5000 0.5000 1
I1 I 0.0000 0.5000 0.5000 1
O1 O 0.5000 0.5000 0.0000 1
```

Properties
Energy above the lowest structure with this stoichiometry ... 6.2 kJ per mole of atoms

[6]
Compound: ScNbI2O
Source: Alexandria
Functional: PBE
Structure: relaxed

```
data_ScNbI2O
_chemical_formula_sum 'Sc1 Nb1 I2 O1'
_symmetry_space_group_name_H-M 'P 4/m m m'
_symmetry_Int_Tables_number 123
_symmetry_space_group_name_Hall '-P 4 2'
_cell_length_a 5.8587
_cell_length_b 5.8587
_cell_length_c 3.8431
_cell_angle_alpha 90.00
_cell_angle_beta 90.00
_cell_angle_gamma 90.00
loop_
_atom_site_label
_atom_site_type_symbol
_atom_site_fract_x
_atom_site_fract_y
_atom_site_fract_z
_atom_site_occupancy
Sc1 Sc 0.0000 0.0000 0.0000 1
Nb1 Nb 0.5000 0.5000 0.5000 1
I1 I 0.0000 0.5000 0.0000 1
O1 O 0.0000 0.0000 0.5000 1
```

Properties
Energy above the lowest structure with this stoichiometry ... 0.0 kJ per mole of atoms

[7]
Compound: NbSeIO2
Source: Alexandria
Functional: PBE
Structure: relaxed

```
data_NbSeIO2
_chemical_formula_sum 'Nb1 Se1 I1 O2'
_symmetry_space_group_name_H-M 'P 4/m m m'
_symmetry_Int_Tables_number 123
_symmetry_space_group_name_Hall '-P 4 2'
_cell_length_a 3.9953
_cell_length_b 3.9953
_cell_length_c 6.2311
_cell_angle_alpha 90.00
_cell_angle_beta 90.00
_cell_angle_gamma 90.00
loop_
_atom_site_label
_atom_site_type_symbol
_atom_site_fract_x
_atom_site_fract_y
_atom_site_fract_z
_atom_site_occupancy
Nb1 Nb 0.0000 0.0000 0.0000 1
Se1 Se 0.5000 0.5000 0.5000 1
I1 I 0.0000 0.0000 0.5000 1
O1 O 0.0000 0.5000 0.0000 1
```

Properties
Energy above the lowest structure with this stoichiometry ... 0.0 kJ per mole of atoms

[8]
Compound: NbSeIO2
Source: Alexandria
Functional: PBE
Structure: relaxed

```
data_NbSeIO2
_chemical_formula_sum 'Nb1 Se1 I1 O2'
_symmetry_space_group_name_H-M 'P 4/m m m'
_symmetry_Int_Tables_number 123
_symmetry_space_group_name_Hall '-P 4 2'
_cell_length_a 4.0145
_cell_length_b 4.0145
_cell_length_c 5.8602
_cell_angle_alpha 90.00
_cell_angle_beta 90.00
_cell_angle_gamma 90.00
loop_
_atom_site_label
_atom_site_type_symbol
_atom_site_fract_x
_atom_site_fract_y
_atom_site_fract_z
_atom_site_occupancy
Nb1 Nb 0.0000 0.0000 0.0000 1
Se1 Se 0.5000 0.5000 0.5000 1
I1 I 0.5000 0.5000 0.0000 1
O1 O 0.0000 0.5000 0.5000 1
```

Properties
Energy above the lowest structure with this stoichiometry ... 144.1 kJ per mole of atoms

[9]
Compound: NbSiI2O
Source: Alexandria
Functional: PBE
Structure: relaxed

```
data_NbSiI2O
_chemical_formula_sum 'Nb1 Si1 I2 O1'
_symmetry_space_group_name_H-M 'P 4/m m m'
_symmetry_Int_Tables_number 123
_symmetry_space_group_name_Hall '-P 4 2'
_cell_length_a 5.6263
_cell_length_b 5.6263
_cell_length_c 3.4885
_cell_angle_alpha 90.00
_cell_angle_beta 90.00
_cell_angle_gamma 90.00
loop_
_atom_site_label
_atom_site_type_symbol
_atom_site_fract_x
_atom_site_fract_y
_atom_site_fract_z
_atom_site_occupancy
Nb1 Nb 0.0000 0.0000 0.0000 1
Si1 Si 0.5000 0.5000 0.5000 1
I1 I 0.0000 0.5000 0.5000 1
O1 O 0.5000 0.5000 0.0000 1
```

Properties
Energy above the lowest structure with this stoichiometry ... 25.9 kJ per mole of atoms

[10]
Compound: NbSiIO2
Source: Alexandria
Functional: PBE
Structure: relaxed

```
data_NbSiIO2
_chemical_formula_sum 'Nb1 Si1 I1 O2'
_symmetry_space_group_name_H-M 'P 4/m m m'
_symmetry_Int_Tables_number 123
_symmetry_space_group_name_Hall '-P 4 2'
_cell_length_a 3.7978
_cell_length_b 3.7978
_cell_length_c 5.5904
_cell_angle_alpha 90.00
_cell_angle_beta 90.00
_cell_angle_gamma 90.00
loop_
_atom_site_label
_atom_site_type_symbol
_atom_site_fract_x
_atom_site_fract_y
_atom_site_fract_z
_atom_site_occupancy
Nb1 Nb 0.0000 0.0000 0.0000 1
Si1 Si 0.5000 0.5000 0.5000 1
I1 I 0.5000 0.5000 0.0000 1
O1 O 0.0000 0.5000 0.5000 1
```

Properties
Energy above the lowest structure with this stoichiometry ... 61.5 kJ per mole of atoms

Density of states at the Fermi level (states/eV per cell)
3.7; 5.1; 5.8; 4.2; 6.5; 2.7; 1.4; 2.6; 3.1; 2.5